Entry from the Alexandria database: a relaxed PmY5Cd4 crystal (GGA-PBE).

Results
* energy: -43.47 eV per formula unit
* space-group type: No. 123

Unit cell a=3.718 b=3.718 c=20.196 alpha=90.00 beta=90.00 gamma=90.00
Element x y z (fractional)
Pm: 0.000 0.000 0.000
Y: 0.500 0.500 0.124
Y: 0.500 0.500 0.313
Y: 0.500 0.500 0.500
Y: 0.500 0.500 0.687
Y: 0.500 0.500 0.876
Cd: 0.000 0.000 0.218
Cd: 0.000 0.000 0.405
Cd: 0.000 0.000 0.595
Cd: 0.000 0.000 0.782